Here is a geometry-optimized NbCr3Cu2S8 structure from Alexandria. Energies are from PBE.

abc: 3.4058 11.6998 12.7505
angles: 90.00 90.00 90.00
Last column: nearest neighbours and their distance in Å.
Fractional coordinates of all 28 atoms:
Nb: 0.5000 0.8886 0.4751  5 S 2.44-2.48, 1 Cu 2.73
Nb: 0.5000 0.3886 0.5249  5 S 2.44-2.48, 1 Cu 2.73
Cr: 0.5000 0.9049 0.8182  6 S 2.36-2.54
Cr: 0.0000 0.1339 0.6883  6 S 2.41-2.46
Cr: 0.0000 0.6339 0.3117  6 S 2.41-2.46
Cr: 0.5000 0.4049 0.1818  6 S 2.36-2.54
Cr: 0.0000 0.1800 0.0931  5 S 2.24-2.46
Cr: 0.0000 0.6800 0.9069  5 S 2.24-2.46
Cu: 0.0000 0.7388 0.1097  5 S 2.34-2.51
Cu: 0.5000 0.9591 0.2706  4 S 2.20-2.35
Cu: 0.5000 0.4591 0.7294  4 S 2.20-2.35
Cu: 0.0000 0.2388 0.8903  5 S 2.34-2.51
S: 0.0000 0.0111 0.3884  2 Cu 2.35, 2 Nb 2.48
S: 0.5000 0.0549 0.1217  1 Cu 2.20, 2 Cr 2.28
S: 0.5000 0.5549 0.8783  1 Cu 2.20, 2 Cr 2.28
S: 0.0000 0.5111 0.6116  2 Cu 2.35, 2 Nb 2.48
S: 0.5000 0.9978 0.6383  3 Cr 2.42-2.54, 1 Nb 2.44
S: 0.0000 0.0415 0.8585  1 Cu 2.34, 3 Cr 2.39-2.42
S: 0.0000 0.5415 0.1415  1 Cu 2.34, 3 Cr 2.39-2.42
S: 0.5000 0.4978 0.3617  3 Cr 2.42-2.54, 1 Nb 2.44
S: 0.5000 0.8049 0.9859  3 Cr 2.44-2.46, 2 Cu 2.45
S: 0.0000 0.2381 0.5209  2 Nb 2.45, 1 Cr 2.46
S: 0.0000 0.7381 0.4791  2 Nb 2.45, 1 Cr 2.46
S: 0.5000 0.3049 0.0141  3 Cr 2.44-2.46, 2 Cu 2.45
S: 0.0000 0.7812 0.7578  3 Cr 2.24-2.36
S: 0.5000 0.2652 0.7476  3 Cu 2.28-2.51, 2 Cr 2.41
S: 0.5000 0.7652 0.2524  3 Cu 2.28-2.51, 2 Cr 2.41
S: 0.0000 0.2812 0.2422  3 Cr 2.24-2.36

Values from the calculation:
- Fermi-level density of states (states/eV/atom) = 0.422
- energy (eV per atom) = -6.260
- total moment (μB per cell) = 17.87
- space group = Pmc2_1, No. 26
- E above lowest polymorph (eV per formula unit) = 2.21
- formation energy from raw total energies (eV/atom) = -0.54